# 1
HfCrSb2 after structural relaxation. Source: Alexandria, functional GGA-PBE.

Results
DOS(E_F) ... 0.870 states/eV per atom
Uncorrected formation energy ... 0.283 eV per atom
Space group ... R-3m, No. 166

Unit cell a=10.218 b=10.218 c=10.218 alpha=18.76 beta=18.76 gamma=18.76
Fractional coordinates of all 4 atoms:
Hf 0.000 0.000 0.000
Cr 0.500 0.500 0.500
Sb 0.410 0.410 0.410
Sb 0.590 0.590 0.590



# 2
HfCrSb2 after structural relaxation. Source: Alexandria, functional GGA-PBE.

Results
DOS(E_F) ... 0.549 states/eV per atom
Uncorrected formation energy ... 0.177 eV per atom
Space group ... Fm-3m, No. 225

Unit cell a=4.816 b=4.816 c=4.816 alpha=60.00 beta=60.00 gamma=60.00
Fractional coordinates of all 4 atoms:
Hf 0.000 0.000 0.000
Cr 0.500 0.500 0.500
Sb 0.250 0.250 0.250
Sb 0.750 0.750 0.750



# 3
HfCrSbSe2 after structural relaxation. Source: Alexandria, functional GGA-PBE.

Results
DOS(E_F) ... 0.933 states/eV per atom
Uncorrected formation energy ... 0.201 eV per atom
Space group ... P4/mmm, No. 123

Unit cell a=4.542 b=4.542 c=5.342 alpha=90.00 beta=90.00 gamma=90.00
Fractional coordinates of all 5 atoms:
Hf 0.000 0.000 0.000
Cr 0.000 0.000 0.500
Sb 0.500 0.500 0.000
Se 0.000 0.500 0.500
Se 0.500 0.000 0.500



# 4
HfCrSbTe2 after structural relaxation. Source: Alexandria, functional GGA-PBE.

Results
DOS(E_F) ... 0.913 states/eV per atom
Uncorrected formation energy ... 0.561 eV per atom
Space group ... P4/mmm, No. 123

Unit cell a=5.175 b=5.175 c=5.046 alpha=90.00 beta=90.00 gamma=90.00
Fractional coordinates of all 5 atoms:
Hf 0.000 0.000 0.000
Cr 0.500 0.500 0.500
Sb 0.500 0.500 0.000
Te 0.000 0.500 0.500
Te 0.500 0.000 0.500